No. 1
A geometry-optimized Ca2FeTeN structure. Source: Alexandria via LeMat-Bulk, functional PBE.

Cell and atoms, written as POSCAR:
```
Ca2FeTeN
1.0
-3.311 1.193 3.754
-3.930 -1.331 -3.043
0.199 -3.617 1.325
Fe N Ca Te
1 1 2 1
direct
0.000 0.000 0.500
0.000 0.000 0.000
0.000 0.500 0.000
0.500 0.000 0.000
0.500 0.500 0.500
```

## Properties
Raw total energy in eV per cell: -28.0
Magnetization in μB/cell: 3.009
Calculated density in g cm⁻³: 4.51
ΔE_f (raw) in eV/f.u.: -4.1

---

No. 2
A geometry-optimized CaFeTe2N structure. Source: Alexandria via LeMat-Bulk, functional PBE.

Cell and atoms, written as POSCAR:
```
CaFeTe2N
1.0
5.496 0.000 0.000
0.000 5.496 0.000
0.000 0.000 3.479
Te Ca N Fe
2 1 1 1
direct
0.500 0.000 0.000
0.000 0.500 0.000
0.500 0.500 0.500
0.000 0.000 0.500
0.000 0.000 0.000
```

## Properties
Raw total energy in eV per cell: -26.6
Distance to the lowest polymorph of the same formula in eV/atom: 0.000
Magnetization in μB/cell: 0.000
Calculated density in g cm⁻³: 5.77
ΔE_f (raw) in eV/f.u.: -1.5

---

No. 3
A geometry-optimized CaFeTe2N structure. Source: Alexandria via LeMat-Bulk, functional PBE.

Cell and atoms, written as POSCAR:
```
CaFeTe2N
1.0
-2.556 3.232 4.141
-2.070 -4.853 2.509
3.420 -0.261 2.315
Fe Ca Te N
1 1 2 1
direct
0.500 0.500 0.500
0.000 0.000 0.000
0.500 0.000 0.000
0.000 0.500 0.000
0.000 0.000 0.500
```

## Properties
Raw total energy in eV per cell: -19.1
Distance to the lowest polymorph of the same formula in eV/atom: 1.491
Magnetization in μB/cell: 3.555
Calculated density in g cm⁻³: 4.29
ΔE_f (raw) in eV/f.u.: 5.9

---

No. 4
A geometry-optimized CaTi2FeN4 structure. Source: Alexandria via LeMat-Bulk, functional PBE.

Cell and atoms, written as POSCAR:
```
CaTi2FeN4
1.0
3.067 0.000 0.000
-1.533 5.284 0.000
0.000 0.000 10.657
Ti N Ca Fe
4 8 2 2
direct
0.632 0.264 0.041
0.632 0.264 0.459
0.368 0.736 0.541
0.368 0.736 0.959
0.000 0.000 0.000
0.571 0.143 0.250
0.429 0.857 0.750
0.736 0.472 0.889
0.736 0.472 0.611
0.264 0.528 0.111
0.264 0.528 0.389
0.000 0.000 0.500
0.106 0.212 0.750
0.894 0.788 0.250
0.160 0.321 0.250
0.840 0.679 0.750
```

## Properties
Raw total energy in eV per cell: -136.6
Magnetization in μB/cell: 0.491
Calculated density in g cm⁻³: 4.76
ΔE_f (raw) in eV/f.u.: -8.7

---

No. 5
A geometry-optimized Ca3U3FeN8 structure. Source: Alexandria via LeMat-Bulk, functional PBE.

Cell and atoms, written as POSCAR:
```
Ca3U3FeN8
1.0
6.703 0.000 0.000
-3.351 5.804 -0.019
0.000 -3.850 5.653
N Ca U Fe
8 3 3 1
direct
0.228 0.965 0.694
0.742 0.484 0.726
0.772 0.543 0.306
0.737 0.965 0.694
0.772 0.035 0.306
0.228 0.457 0.694
0.263 0.035 0.306
0.258 0.516 0.274
0.500 0.500 0.000
0.000 0.000 0.000
0.000 0.500 0.000
0.000 0.500 0.500
0.500 0.000 0.500
0.500 0.500 0.500
0.000 0.000 0.500
```

## Properties
Raw total energy in eV per cell: -129.6
Magnetization in μB/cell: 2.065
Calculated density in g cm⁻³: 7.58
ΔE_f (raw) in eV/f.u.: -14.6

---

No. 6
A geometry-optimized CaUFeN3 structure. Source: Alexandria via LeMat-Bulk, functional PBE.

Cell and atoms, written as POSCAR:
```
CaUFeN3
1.0
-2.585 -2.210 0.361
1.618 -2.893 -6.132
4.301 -4.318 4.371
N Ca Fe U
6 2 2 2
direct
0.250 0.570 0.868
0.750 0.430 0.132
0.750 0.860 0.143
0.750 0.168 0.548
0.250 0.832 0.452
0.250 0.140 0.857
0.750 0.841 0.818
0.250 0.159 0.182
0.250 0.067 0.601
0.750 0.933 0.399
0.750 0.347 0.827
0.250 0.653 0.173
```

## Properties
Raw total energy in eV per cell: -104.1
Magnetization in μB/cell: 1.260
Calculated density in g cm⁻³: 7.05
ΔE_f (raw) in eV/f.u.: -5.3

---

No. 7
A geometry-optimized Ca2ZnFeN structure. Source: Alexandria via LeMat-Bulk, functional PBE.

Cell and atoms, written as POSCAR:
```
Ca2ZnFeN
1.0
-4.569 1.670 -2.511
1.247 -1.191 -3.062
-2.306 -4.872 0.955
Ca Zn Fe N
2 1 1 1
direct
0.500 0.000 0.000
0.000 0.000 0.500
0.500 0.500 0.500
0.000 0.000 0.000
0.000 0.500 0.000
```

## Properties
Raw total energy in eV per cell: -21.7
Distance to the lowest polymorph of the same formula in eV/atom: 0.489
Magnetization in μB/cell: 0.000
Calculated density in g cm⁻³: 3.40
ΔE_f (raw) in eV/f.u.: 0.4

---

No. 8
A geometry-optimized Ca2ZnFeN structure. Source: Alexandria via LeMat-Bulk, functional PBE.

Cell and atoms, written as POSCAR:
```
Ca2ZnFeN
1.0
-2.399 -1.594 -4.139
-3.280 -2.529 2.876
-2.112 2.872 0.118
Ca Fe N Zn
2 1 1 1
direct
0.000 0.500 0.000
0.500 0.000 0.000
0.000 0.000 0.500
0.000 0.000 0.000
0.500 0.500 0.500
```

## Properties
Raw total energy in eV per cell: -24.2
Distance to the lowest polymorph of the same formula in eV/atom: 0.000
Magnetization in μB/cell: 0.000
Calculated density in g cm⁻³: 3.94
ΔE_f (raw) in eV/f.u.: -2.1